(1)
A plane-wave DFT calculation with PBE was carried out for a geometry-optimized VTc structure.

Lattice parameters (Å, degrees): 9.126 9.126 2.885 90.00 90.00 90.00
Fractional positions:
V1 0.188 0.013 0.500
V2 0.105 0.598 0.000
V3 0.013 0.812 0.500
V4 0.895 0.402 0.000
V5 0.812 0.987 0.500
V6 0.402 0.105 0.000
V7 0.987 0.188 0.500
V8 0.598 0.895 0.000
Tc1 0.693 0.467 0.500
Tc2 0.467 0.307 0.500
Tc3 0.194 0.293 0.000
Tc4 0.307 0.533 0.500
Tc5 0.533 0.693 0.500
Tc6 0.707 0.194 0.000
Tc7 0.806 0.707 0.000
Tc8 0.293 0.806 0.000

The value obtained for the formation energy is 0.344 eV/atom. The total energy is -150.38 eV/cell.


(2)
A plane-wave DFT calculation with PBE was carried out for a geometry-optimized VTc structure.

Lattice parameters (Å, degrees): 6.864 6.864 4.503 90.00 90.00 120.00
Fractional positions:
Tc1 0.615 0.093 0.750
Tc2 0.523 0.615 0.250
Tc3 0.477 0.385 0.750
Tc4 0.907 0.523 0.750
Tc5 0.093 0.477 0.250
Tc6 0.385 0.907 0.250
V1 0.257 0.173 0.250
V2 0.827 0.083 0.250
V3 0.173 0.917 0.750
V4 0.743 0.827 0.750
V5 0.917 0.743 0.250
V6 0.083 0.257 0.750

The value obtained for the formation energy is 0.303 eV/atom. The total energy is -113.27 eV/cell.